## CoHgNO (GGA+U)

Data for crystalline CoHgNO at its relaxed geometry.

* SG: Pca2_1
* relative energy among the computed polymorphs: 118 meV per atom

Cell and atoms, written as POSCAR:
```
CoHgNO
1.0
-3.9737 2.1695 3.4189
-4.4910 0.4049 -5.4767
-1.7489 -4.8931 1.0723
Co Hg N O
4 4 4 4
direct
0.4087 0.1088 0.4972
0.9087 0.8912 0.4972
0.0913 0.1088 0.9972
0.5913 0.8912 0.9972
0.5402 0.3433 0.0158
0.0402 0.6567 0.0158
0.9598 0.3433 0.5158
0.4598 0.6567 0.5158
0.3907 0.0716 0.1408
0.8907 0.9284 0.1408
0.1093 0.0716 0.6408
0.6093 0.9284 0.6408
0.9566 0.3505 0.0485
0.4566 0.6495 0.0485
0.5434 0.3505 0.5486
0.0434 0.6495 0.5486
```